VASP calculation (PBE) on a relaxed SmYNi2I2 crystal.

Cell: 4.099 4.099 12.067 Å, 90.00 90.00 120.00°
Fractional positions:
Sm1 0.000 0.000 0.000
Y1 0.000 0.000 0.698
Ni1 0.333 0.667 0.853
Ni2 0.667 0.333 0.840
I1 0.333 0.667 0.521
I2 0.667 0.333 0.182

Total magnetic moment = 0.14 μB/cell
Crystal system = trigonal
Raw total energy = -5.11 eV/atom
ρ = 5.8 g/cm³

---

VASP calculation (PBE) on a relaxed Tb7NiI12 crystal.

Cell: 9.730 9.730 9.730 Å, 107.40 107.40 107.40°
Fractional positions:
Tb1 0.000 0.000 0.000
Tb2 0.202 0.470 0.401
Tb3 0.401 0.202 0.470
Tb4 0.470 0.401 0.202
Tb5 0.530 0.599 0.798
Tb6 0.599 0.798 0.530
Tb7 0.798 0.530 0.599
Ni1 0.500 0.500 0.500
I1 0.030 0.109 0.343
I2 0.109 0.343 0.030
I3 0.180 0.574 0.726
I4 0.274 0.820 0.426
I5 0.343 0.030 0.109
I6 0.426 0.274 0.820
I7 0.574 0.726 0.180
I8 0.657 0.970 0.891
I9 0.726 0.180 0.574
I10 0.820 0.426 0.274
I11 0.891 0.657 0.970
I12 0.970 0.891 0.657

Total magnetic moment = 0.98 μB/cell
Crystal system = trigonal
Raw total energy = -4.03 eV/atom
ρ = 5.9 g/cm³

---

VASP calculation (PBE) on a relaxed TbYNi2I2 crystal.

Cell: 4.070 4.070 11.907 Å, 90.00 90.00 120.00°
Fractional positions:
Tb1 0.000 0.000 0.000
Y1 0.000 0.000 0.301
Ni1 0.333 0.667 0.156
Ni2 0.667 0.333 0.144
I1 0.333 0.667 0.819
I2 0.667 0.333 0.480

Total magnetic moment = 0.18 μB/cell
Crystal system = trigonal
Raw total energy = -5.11 eV/atom
ρ = 6.0 g/cm³

---

VASP calculation (PBE) on a relaxed TlNiI3 crystal.

Cell: 7.696 7.696 6.804 Å, 98.68 98.68 60.43°
Fractional positions:
Tl1 0.164 0.164 0.236
Tl2 0.836 0.836 0.764
Ni1 0.500 0.500 0.000
Ni2 0.500 0.500 0.500
I1 0.177 0.658 0.219
I2 0.336 0.336 0.690
I3 0.342 0.823 0.781
I4 0.658 0.177 0.219
I5 0.664 0.664 0.310
I6 0.823 0.342 0.781

Total magnetic moment = 4.00 μB/cell
Crystal system = monoclinic
Raw total energy = -2.77 eV/atom
ρ = 6.2 g/cm³

---

VASP calculation (PBE) on a relaxed ZrNiI3 crystal.

Cell: 9.667 9.667 8.269 Å, 90.00 90.00 155.81°
Fractional positions:
Zr1 0.174 0.826 0.750
Zr2 0.826 0.174 0.250
Ni1 0.408 0.592 0.250
Ni2 0.592 0.408 0.750
I1 0.010 0.990 0.750
I2 0.335 0.665 0.522
I3 0.335 0.665 0.978
I4 0.665 0.335 0.022
I5 0.665 0.335 0.478
I6 0.990 0.010 0.250

Total magnetic moment = 0.03 μB/cell
Crystal system = orthorhombic
Raw total energy = -4.18 eV/atom
ρ = 5.6 g/cm³

---

VASP calculation (PBE) on a relaxed NpI crystal.

Cell: 3.746 3.746 4.856 Å, 90.00 90.00 120.00°
Fractional positions:
Np1 0.000 0.000 0.000
I1 0.333 0.667 0.500

Total magnetic moment = 4.89 μB/cell
Crystal system = hexagonal
Raw total energy = -7.24 eV/atom
ρ = 10.2 g/cm³

---

VASP calculation (PBE) on a relaxed NpI crystal.

Cell: 4.987 4.987 4.987 Å, 60.00 60.00 60.00°
Fractional positions:
Np1 0.000 0.000 0.000
I1 0.250 0.250 0.250

Total magnetic moment = 5.94 μB/cell
Crystal system = cubic
Raw total energy = -6.65 eV/atom
ρ = 6.9 g/cm³

---

VASP calculation (PBE) on a relaxed NpI crystal.

Cell: 4.353 4.353 4.353 Å, 60.00 60.00 60.00°
Fractional positions:
Np1 0.000 0.000 0.000
I1 0.500 0.500 0.500

Total magnetic moment = 4.76 μB/cell
Crystal system = cubic
Raw total energy = -7.16 eV/atom
ρ = 10.4 g/cm³

---

VASP calculation (PBE) on a relaxed PrNpI6 crystal.

Cell: 10.075 8.056 8.056 Å, 31.17 90.00 90.00°
Fractional positions:
Pr1 0.000 0.000 0.000
Np1 0.500 0.521 0.521
I1 0.000 0.351 0.351
I2 0.183 0.605 0.605
I3 0.320 0.917 0.917
I4 0.500 0.167 0.167
I5 0.680 0.917 0.917
I6 0.817 0.605 0.605

Total magnetic moment = 4.00 μB/cell
Crystal system = orthorhombic
Raw total energy = -4.52 eV/atom
ρ = 5.6 g/cm³

---

VASP calculation (PBE) on a relaxed Np2SeSI2 crystal.

Cell: 7.202 4.241 7.480 Å, 90.00 94.16 90.00°
Fractional positions:
Np1 0.000 0.000 0.000
Np2 0.024 0.500 0.454
Se1 0.231 0.000 0.323
S1 0.831 0.500 0.134
I1 0.269 0.500 0.828
I2 0.755 0.000 0.626

Total magnetic moment = 8.00 μB/cell
Crystal system = monoclinic
Raw total energy = -7.10 eV/atom
ρ = 6.1 g/cm³

---

VASP calculation (PBE) on a relaxed TmNpSbI2 crystal.

Cell: 4.310 4.310 11.394 Å, 90.00 90.00 120.00°
Fractional positions:
Tm1 0.000 0.000 0.000
Np1 0.667 0.333 0.693
Sb1 0.333 0.667 0.855
I1 0.000 0.000 0.519
I2 0.667 0.333 0.169

Total magnetic moment = 4.65 μB/cell
Crystal system = trigonal
Raw total energy = -5.78 eV/atom
ρ = 7.1 g/cm³

---

VASP calculation (PBE) on a relaxed NpSe2I2 crystal.

Cell: 7.696 7.696 8.243 Å, 101.37 101.37 120.06°
Fractional positions:
Np1 0.144 0.856 0.000
Np2 0.856 0.144 0.000
Se1 0.129 0.129 0.291
Se2 0.309 0.309 0.119
Se3 0.691 0.691 0.881
Se4 0.871 0.871 0.709
I1 0.027 0.418 0.762
I2 0.418 0.027 0.762
I3 0.582 0.973 0.238
I4 0.973 0.582 0.238

Total magnetic moment = 6.00 μB/cell
Crystal system = monoclinic
Raw total energy = -5.34 eV/atom
ρ = 5.5 g/cm³

---

VASP calculation (PBE) on a relaxed TbNpI6 crystal.

Cell: 7.822 7.822 7.929 Å, 99.18 99.18 120.07°
Fractional positions:
Tb1 0.000 0.000 0.000
Np1 0.667 0.333 0.000
I1 0.056 0.383 0.239
I2 0.251 0.234 0.765
I3 0.404 0.094 0.236
I4 0.617 0.944 0.761
I5 0.766 0.749 0.235
I6 0.906 0.596 0.764

Total magnetic moment = 4.00 μB/cell
Crystal system = monoclinic
Raw total energy = -4.49 eV/atom
ρ = 4.8 g/cm³

---

VASP calculation (PBE) on a relaxed NpTe2I2 crystal.

Cell: 8.004 8.004 8.115 Å, 98.29 98.29 122.22°
Fractional positions:
Np1 0.146 0.854 0.000
Np2 0.854 0.146 0.000
Te1 0.108 0.108 0.314
Te2 0.325 0.325 0.103
Te3 0.675 0.675 0.897
Te4 0.892 0.892 0.686
I1 0.023 0.441 0.759
I2 0.441 0.023 0.759
I3 0.559 0.977 0.241
I4 0.977 0.559 0.241

Total magnetic moment = 6.00 μB/cell
Crystal system = monoclinic
Raw total energy = -5.05 eV/atom
ρ = 5.9 g/cm³

---

VASP calculation (PBE) on a relaxed OsIO2 crystal.

Cell: 19.528 3.825 3.733 Å, 90.00 90.00 90.00°
Fractional positions:
Os1 0.075 0.250 0.002
Os2 0.425 0.750 0.502
Os3 0.575 0.250 0.498
Os4 0.925 0.750 0.998
I1 0.179 0.750 0.006
I2 0.321 0.250 0.506
I3 0.679 0.750 0.494
I4 0.821 0.250 0.994
O1 0.032 0.750 0.000
O2 0.077 0.250 0.502
O3 0.423 0.750 0.002
O4 0.468 0.250 0.500
O5 0.532 0.750 0.500
O6 0.577 0.250 0.998
O7 0.923 0.750 0.498
O8 0.968 0.250 0.000

Total magnetic moment = 0.00 μB/cell
Crystal system = orthorhombic
Raw total energy = -6.10 eV/atom
ρ = 8.3 g/cm³

---

VASP calculation (PBE) on a relaxed PaI2O crystal.

Cell: 9.315 9.315 9.315 Å, 24.63 24.63 24.63°
Fractional positions:
Pa1 0.000 0.000 0.000
I1 0.578 0.578 0.578
I2 0.755 0.755 0.755
O1 0.333 0.333 0.333

Total magnetic moment = 1.00 μB/cell
Crystal system = trigonal
Raw total energy = -5.92 eV/atom
ρ = 6.7 g/cm³
Distance to the lowest polymorph of the same formula = 0 meV per atom

---

VASP calculation (PBE) on a relaxed PaI2O crystal.

Cell: 8.166 8.166 9.092 Å, 106.79 106.79 30.51°
Fractional positions:
Pa1 0.001 0.001 0.253
Pa2 0.999 0.999 0.747
I1 0.146 0.146 0.075
I2 0.149 0.149 0.578
I3 0.851 0.851 0.422
I4 0.854 0.854 0.925
O1 0.499 0.499 0.741
O2 0.501 0.501 0.259

Total magnetic moment = 2.00 μB/cell
Crystal system = monoclinic
Raw total energy = -5.90 eV/atom
ρ = 5.7 g/cm³
Distance to the lowest polymorph of the same formula = 23 meV per atom

---

VASP calculation (PBE) on a relaxed PaI2O crystal.

Cell: 8.195 8.195 9.081 Å, 106.98 106.98 30.36°
Fractional positions:
Pa1 0.001 0.001 0.253
Pa2 0.999 0.999 0.747
I1 0.141 0.154 0.579
I2 0.145 0.147 0.076
I3 0.846 0.859 0.421
I4 0.853 0.855 0.924
O1 0.499 0.499 0.739
O2 0.501 0.501 0.261

Total magnetic moment = 2.00 μB/cell
Crystal system = monoclinic
Raw total energy = -5.90 eV/atom
ρ = 5.7 g/cm³
Distance to the lowest polymorph of the same formula = 24 meV per atom

---

VASP calculation (PBE) on a relaxed Pd2I2O crystal.

Cell: 7.014 7.014 7.014 Å, 121.51 121.51 87.41°
Fractional positions:
Pd1 0.000 0.000 0.000
Pd2 0.000 0.000 0.500
Pd3 0.000 0.500 0.000
Pd4 0.500 0.000 0.500
I1 0.193 0.443 0.750
I2 0.443 0.193 0.250
I3 0.557 0.807 0.750
I4 0.807 0.557 0.250
O1 0.125 0.875 0.250
O2 0.875 0.125 0.750

Crystal system = tetragonal
Raw total energy = -3.83 eV/atom
ρ = 6.7 g/cm³

---

VASP calculation (PBE) on a relaxed PdI2O6 crystal.

Cell: 5.718 5.935 15.119 Å, 90.00 90.00 90.00°
Fractional positions:
Pd1 0.000 0.000 0.000
Pd2 0.000 0.500 0.500
Pd3 0.500 0.000 0.500
Pd4 0.500 0.500 0.000
I1 0.030 0.085 0.345
I2 0.030 0.415 0.845
I3 0.470 0.585 0.345
I4 0.470 0.915 0.845
I5 0.530 0.085 0.155
I6 0.530 0.415 0.655
I7 0.970 0.585 0.155
I8 0.970 0.915 0.655
O1 0.128 0.663 0.607
O2 0.128 0.837 0.107
O3 0.179 0.507 0.946
O4 0.179 0.993 0.446
O5 0.237 0.735 0.283
O6 0.237 0.765 0.783
O7 0.263 0.235 0.283
O8 0.263 0.265 0.783
O9 0.321 0.007 0.946
O10 0.321 0.493 0.446
O11 0.372 0.163 0.607
O12 0.372 0.337 0.107
O13 0.628 0.663 0.893
O14 0.628 0.837 0.393
O15 0.679 0.507 0.554
O16 0.679 0.993 0.054
O17 0.737 0.735 0.217
O18 0.737 0.765 0.717
O19 0.763 0.235 0.217
O20 0.763 0.265 0.717
O21 0.821 0.007 0.554
O22 0.821 0.493 0.054
O23 0.872 0.163 0.893
O24 0.872 0.337 0.393

Crystal system = orthorhombic
Raw total energy = -4.47 eV/atom
ρ = 5.9 g/cm³